The following is a GGA+U calculation of a relaxed V2OsO6 crystal, from Alexandria via LeMat-Bulk.

a = 4.473 Å, b = 8.744 Å, c = 8.744 Å
α = 120.00°, β = 90.00°, γ = 90.00°
Site moments in Bohr magnetons follow the coordinates.
Fractional coordinates of all 27 atoms:
V  0.000  0.000  0.347  1.47
V  0.000  0.653  0.653  1.47
V  0.000  0.347  0.000  1.47
V  0.000  0.000  0.653  1.47
V  0.000  0.347  0.347  1.47
V  0.000  0.653  0.000  1.47
Os  0.510  0.667  0.333  -1.25
Os  0.490  0.333  0.667  -1.25
Os  0.000  0.000  0.000  2.00
O  0.254  0.881  0.441  -0.11
O  0.254  0.559  0.119  -0.11
O  0.254  0.559  0.441  -0.11
O  0.746  0.441  0.559  -0.11
O  0.746  0.441  0.881  -0.11
O  0.746  0.119  0.559  -0.11
O  0.760  0.453  0.227  -0.10
O  0.760  0.773  0.547  -0.10
O  0.760  0.773  0.227  -0.10
O  0.787  0.771  0.886  0.07
O  0.787  0.114  0.229  0.07
O  0.787  0.114  0.886  0.07
O  0.213  0.886  0.114  0.07
O  0.213  0.886  0.771  0.07
O  0.213  0.229  0.114  0.07
O  0.240  0.547  0.773  -0.10
O  0.240  0.227  0.453  -0.10
O  0.240  0.227  0.773  -0.10

Results
**Space-group type**: No. 164
**Total DFT energy (no corrections)**: -208.41 eV per cell
**Calculated volume**: 296.2 Å³/cell